{"formula": "Y3ScBe", "functional": "PBE", "state": "optimized geometry", "formation_energy_ev_per_atom": 1.09, "mass_density_g_cm3": 3.3, "polymorph_energy_ev_per_atom": 0.7756, "e_tot_ev_per_cell": -23.978, "lattice_angstrom": [[-0.647, -3.290, -4.257], [-1.013, -4.136, 3.351], [-5.284, 1.195, -0.121]], "species": ["Y", "Y", "Y", "Be", "Sc"], "fractional_positions": [[0.000, 0.000, 0.500], [0.000, 0.500, 0.000], [0.500, 0.000, 0.000], [0.500, 0.500, 0.500], [0.000, 0.000, 0.000]]}